DFT (PBE with a Hubbard U) results for a geometry-optimized Na2AlMoO4 structure.

Lattice parameters (Å, degrees): 5.399 3.093 5.672 90.00 108.23 90.00
Space group P2/m (No. 10)
Unique sites:
Na (0.000, 0.000, 0.000) x1
Na (0.500, 0.500, 0.000) x1
Al (0.000, 0.500, 0.500) x1
Mo (0.500, 0.000, 0.500) x1
O (0.212, 0.000, 0.695) x2
O (0.236, 0.500, 0.303) x2

Electronic total energy (eV per cell): -49.8
Spin magnetization (μB per cell): 3.00
DOS(E_F) (states/eV/f.u.): 0.00
Calculated density (Mg/m³): 4.30